Record 1
Computed, not measured: a geometry-optimized MoPPt2 structure at the GGA-PBE level of DFT.

Cell lengths 2.8454, 2.8454, 25.8108 Å; angles 90.00, 90.00, 120.00 degrees
Space group R-3m (No. 166, hexagonal axes)
Inequivalent atoms, fractional coordinates:
1 Mo 0.0000 0.0000 0.0000
2 P 0.0000 0.0000 0.5000
3 Pt 0.0000 0.0000 0.2446

Record 2
Computed, not measured: a geometry-optimized MoP2Pt structure at the GGA-PBE level of DFT.

Cell lengths 2.9939, 2.9939, 22.8077 Å; angles 90.00, 90.00, 120.00 degrees
Space group R-3m (No. 166, hexagonal axes)
Inequivalent atoms, fractional coordinates:
1 Mo 0.0000 0.0000 0.0000
2 P 0.0000 0.0000 0.2551
3 Pt 0.0000 0.0000 0.5000

Record 3
Computed, not measured: a geometry-optimized MoPPt structure at the GGA-PBE level of DFT.

Cell lengths 3.014, 3.014, 9.685 Å; angles 90.00, 90.00, 90.00 degrees
Space group I4mm (No. 107)
Inequivalent atoms, fractional coordinates:
1 Mo 0.000 0.000 0.000
2 P 0.000 0.000 0.371
3 Pt 0.000 0.000 0.698

no.,formation enthalpy at 0 K (eV/atom)
1,-0.03
2,-0.14
3,-0.22